Material: LiPtW2
Method: DFT, PBE
State: optimized geometry

Results
* energy relative to the lowest polymorph listed for this composition: 0.077 eV per atom
* ΔH_f (0 K): 103.5 meV/atom

a b c (Å): 2.6943 4.4212 5.2108
angles (deg): 90.00 104.98 90.00
Sites, in units of the cell vectors:
1 Li 0.0000 0.0000 0.0000
2 Pt 0.5000 0.0000 0.5000
3 W 0.2418 0.5000 0.7615
4 W 0.7582 0.5000 0.2385

---

Material: PuIn15Bi4
Method: DFT, PBE
State: optimized geometry

Results
* ΔH_f (0 K): -5.4 meV/atom

a b c (Å): 5.0769 5.0769 22.0096
angles (deg): 90.00 90.00 90.00
Sites, in units of the cell vectors:
1 Pu 0.0000 0.0000 0.0000
2 In 0.0000 0.5000 0.0942
3 In 0.0000 0.5000 0.2952
4 In 0.0000 0.5000 0.5000
5 In 0.0000 0.5000 0.7048
6 In 0.0000 0.5000 0.9058
7 In 0.5000 0.0000 0.0942
8 In 0.5000 0.0000 0.2952
9 In 0.5000 0.0000 0.5000
10 In 0.5000 0.0000 0.7048
11 In 0.5000 0.0000 0.9058
12 In 0.5000 0.5000 0.0000
13 In 0.5000 0.5000 0.2009
14 In 0.5000 0.5000 0.4008
15 In 0.5000 0.5000 0.5992
16 In 0.5000 0.5000 0.7991
17 Bi 0.0000 0.0000 0.1822
18 Bi 0.0000 0.0000 0.3952
19 Bi 0.0000 0.0000 0.6048
20 Bi 0.0000 0.0000 0.8178

---

Material: Cs2In5Bi3
Method: DFT, PBE
State: optimized geometry

Results
* ΔH_f (0 K): -176.5 meV/atom

a b c (Å): 10.7375 10.7375 10.7375
angles (deg): 110.41 85.16 137.36
Sites, in units of the cell vectors:
1 Cs 0.1231 0.2486 0.3717
2 Cs 0.3769 0.7486 0.1255
3 Cs 0.6231 0.2514 0.8745
4 Cs 0.8769 0.7514 0.6283
5 In 0.0011 0.7500 0.2511
6 In 0.1299 0.6153 0.7452
7 In 0.2500 0.2500 0.0000
8 In 0.3701 0.1153 0.4854
9 In 0.4989 0.7500 0.7489
10 In 0.5011 0.2500 0.2511
11 In 0.6299 0.8847 0.5146
12 In 0.7500 0.7500 0.0000
13 In 0.8701 0.3847 0.2548
14 In 0.9989 0.2500 0.7489
15 Bi 0.1286 0.8715 0.0001
16 Bi 0.2500 0.7500 0.5000
17 Bi 0.3714 0.3715 0.7429
18 Bi 0.6286 0.6285 0.2571
19 Bi 0.7500 0.2500 0.5000
20 Bi 0.8714 0.1285 0.9999

---

Material: Nd2Ho3PuSe6
Method: DFT, PBE
State: optimized geometry

Results
* formation energy (no corrections): -1.7502 eV/atom

a b c (Å): 9.2610 9.2610 8.3372
angles (deg): 103.87 103.87 25.51
Sites, in units of the cell vectors:
1 Nd 0.1659 0.1659 0.3322
2 Nd 0.8341 0.8341 0.6678
3 Ho 0.1675 0.1675 0.8358
4 Ho 0.5000 0.5000 0.5000
5 Ho 0.8325 0.8325 0.1642
6 Pu 0.5000 0.5000 0.0000
7 Se 0.0039 0.0039 0.7467
8 Se 0.3318 0.3318 0.9255
9 Se 0.3367 0.3367 0.4072
10 Se 0.6633 0.6633 0.5928
11 Se 0.6682 0.6682 0.0745
12 Se 0.9961 0.9961 0.2533

---

Material: HfB6N6
Method: DFT, PBE
State: optimized geometry

Results
* formation energy (no corrections): -0.0996 eV/atom

a b c (Å): 4.6238 4.6238 4.6238
angles (deg): 90.00 90.00 90.00
Sites, in units of the cell vectors:
1 Hf 0.0000 0.0000 0.0000
2 B 0.0000 0.2359 0.5000
3 B 0.0000 0.7641 0.5000
4 B 0.2359 0.5000 0.0000
5 B 0.5000 0.0000 0.2359
6 B 0.5000 0.0000 0.7641
7 B 0.7641 0.5000 0.0000
8 N 0.0000 0.5000 0.2506
9 N 0.0000 0.5000 0.7494
10 N 0.2506 0.0000 0.5000
11 N 0.5000 0.2506 0.0000
12 N 0.5000 0.7494 0.0000
13 N 0.7494 0.0000 0.5000

---

Material: La6Tb2PmTh
Method: DFT, PBE
State: optimized geometry

Results
* ΔH_f (0 K): 122.2 meV/atom

a b c (Å): 8.9352 8.9352 10.0827
angles (deg): 95.20 95.20 116.38
Sites, in units of the cell vectors:
1 La 0.0117 0.5770 0.1896
2 La 0.1016 0.7534 0.5558
3 La 0.2466 0.8984 0.9442
4 La 0.3018 0.5030 0.3793
5 La 0.4230 0.9883 0.3104
6 La 0.4970 0.6982 0.1207
7 La 0.5030 0.3018 0.8793
8 La 0.5770 0.0117 0.6896
9 La 0.6982 0.4970 0.6207
10 La 0.7534 0.1016 0.0558
11 La 0.8984 0.2466 0.4442
12 La 0.9883 0.4230 0.8104
13 Tb 0.1919 0.2797 0.0496
14 Tb 0.2797 0.1919 0.5496
15 Tb 0.7203 0.8081 0.4504
16 Tb 0.8081 0.7203 0.9504
17 Pm 0.4043 0.5957 0.7500
18 Pm 0.5957 0.4043 0.2500
19 Th 0.0263 0.9737 0.2500
20 Th 0.9737 0.0263 0.7500

---

Material: Sr2IrPb
Method: DFT, PBE
State: optimized geometry

Results
* ΔH_f (0 K): -62.1 meV/atom

a b c (Å): 4.3590 5.0513 5.0534
angles (deg): 90.00 90.07 90.00
Sites, in units of the cell vectors:
1 Sr 0.0000 0.0000 0.0000
2 Sr 0.0000 0.5000 0.5000
3 Ir 0.5000 0.0000 0.5000
4 Pb 0.5000 0.5000 0.0000

---

Material: Sm2DyScSe6
Method: DFT, PBE
State: optimized geometry

Results
* formation energy (no corrections): -1.7929 eV/atom

a b c (Å): 7.6372 7.6372 7.6372
angles (deg): 56.25 56.25 56.25
Sites, in units of the cell vectors:
1 Sm 0.0000 0.0000 0.0000
2 Sm 0.4981 0.4981 0.4981
3 Dy 0.1986 0.1986 0.1986
4 Sc 0.6962 0.6962 0.6962
5 Se 0.0711 0.4277 0.8092
6 Se 0.3186 0.9115 0.5864
7 Se 0.4277 0.8092 0.0711
8 Se 0.5864 0.3186 0.9115
9 Se 0.8092 0.0711 0.4277
10 Se 0.9115 0.5864 0.3186

---

| no. | spin magnetization (μB/f.u.) |
| --- | --- |
| 1 | 0.00 |
| 2 | 6.09 |
| 3 | 0.00 |
| 4 | 6.01 |
| 5 | 0.00 |
| 6 | 0.00 |
| 7 | 0.00 |
| 8 | 0.00 |